The following is a PBE calculation of an optimized crystal structure of CaFe2W, from Alexandria.

For the energy above the most stable polymorph in this dataset, the calculation gives 188 meV/atom. As for the crystal system: tetragonal. Its final energy is -7.4348 eV per atom. For the energy of formation from the pure elements, the calculation gives 0.535 eV per atom.

It has space group P4mm (No. 99), with a = 2.960 Å, b = 2.960 Å, c = 7.629 Å, α = 90.00°, β = 90.00° and γ = 90.00°. The inequivalent atoms are Ca at (0.000, 0.000, 0.000), Fe at (0.000, 0.000, 0.474), Fe at (0.500, 0.500, 0.303) and W at (0.500, 0.500, 0.671).

The following is a PBE calculation of an optimized crystal structure of CaFe2W, from Alexandria.

For the energy above the most stable polymorph in this dataset, the calculation gives 340 meV/atom. As for the crystal system: trigonal. Its final energy is -7.2830 eV per atom. For the energy of formation from the pure elements, the calculation gives 0.687 eV per atom.

It has space group R-3m (No. 166, hexagonal axes), with a = 3.0571 Å, b = 3.0571 Å, c = 24.9482 Å, α = 90.00°, β = 90.00° and γ = 120.00°. The inequivalent atoms are Ca at (0.0000, 0.0000, 0.0000), Fe at (0.0000, 0.0000, 0.2364) and W at (0.0000, 0.0000, 0.5000).